(1)
! PBE Pm9Ho2Er, relaxed; values from VASP
! - V: 401 Å³ per cell
! - Raw total energy: -56.3 eV per formula unit
! - ΔE_f: 1.6 kJ per mole of atoms
! - Crystal system: tetragonal
! - SG: P4/mmm (123)
&SYSTEM
  ibrav = 0, nat = 12, ntyp = 3
/
ATOMIC_SPECIES
Pm 145.00 Pm.upf
Ho 164.93 Ho.upf
Er 167.26 Er.upf
CELL_PARAMETERS angstrom
5.1119 0.0000 0.0000
0.0000 5.1119 0.0000
0.0000 0.0000 15.3396
ATOMIC_POSITIONS angstrom
Pm 0.0000 0.0000 0.0000
Pm 0.0000 0.0000 5.1119
Pm 0.0000 0.0000 10.2276
Pm 0.0000 2.5559 2.5539
Pm 0.0000 2.5559 7.6698
Pm 0.0000 2.5559 12.7857
Pm 2.5559 0.0000 2.5539
Pm 2.5559 0.0000 7.6698
Pm 2.5559 0.0000 12.7857
Ho 2.5559 2.5559 5.1104
Ho 2.5559 2.5559 10.2292
Er 2.5559 2.5559 0.0000


(2)
! PBE La3Pm4Pr4, relaxed; values from VASP
! - V: 402 Å³ per cell
! - Raw total energy: -51.4 eV per formula unit
! - ΔE_f: 13.3 kJ per mole of atoms
! - Crystal system: orthorhombic
! - SG: Amm2 (38)
&SYSTEM
  ibrav = 0, nat = 11, ntyp = 3
/
ATOMIC_SPECIES
La 138.91 La.upf
Pm 145.00 Pm.upf
Pr 140.91 Pr.upf
CELL_PARAMETERS angstrom
11.0795 0.0000 0.0000
0.0000 2.9508 6.1437
0.0000 -2.9508 6.1437
ATOMIC_POSITIONS angstrom
La 0.0000 0.0000 0.0000
La 3.2195 0.0000 1.9507
La 7.8600 0.0000 1.9507
Pm 0.0000 0.0000 3.7056
Pm 3.3809 0.0000 10.5192
Pm 5.5398 0.0000 4.4065
Pm 7.6986 0.0000 10.5192
Pr 0.0000 0.0000 8.6391
Pr 2.3684 0.0000 6.0811
Pr 5.5398 0.0000 7.7842
Pr 8.7111 0.0000 6.0811


(3)
! PBE CaHoTm2, relaxed; values from VASP
! - V: 132 Å³ per cell
! - Raw total energy: -15.2 eV per formula unit
! - ΔE_f: 8.1 kJ per mole of atoms
! - Crystal system: tetragonal
! - SG: P4/mmm (123)
&SYSTEM
  ibrav = 0, nat = 4, ntyp = 3
/
ATOMIC_SPECIES
Ca 40.08 Ca.upf
Ho 164.93 Ho.upf
Tm 168.93 Tm.upf
CELL_PARAMETERS angstrom
3.5774 0.0000 0.0000
0.0000 3.5774 0.0000
0.0000 0.0000 10.2830
ATOMIC_POSITIONS angstrom
Ca 0.0000 0.0000 0.0000
Ho 0.0000 0.0000 5.1415
Tm 1.7887 1.7887 2.7918
Tm 1.7887 1.7887 7.4911


(4)
! PBE Pm2Ho9Th, relaxed; values from VASP
! - V: 381 Å³ per cell
! - Raw total energy: -56.6 eV per formula unit
! - ΔE_f: 12.1 kJ per mole of atoms
! - Crystal system: tetragonal
! - SG: P4/mmm (123)
&SYSTEM
  ibrav = 0, nat = 12, ntyp = 3
/
ATOMIC_SPECIES
Pm 145.00 Pm.upf
Ho 164.93 Ho.upf
Th 232.04 Th.upf
CELL_PARAMETERS angstrom
5.8605 0.0000 0.0000
0.0000 5.8605 0.0000
0.0000 0.0000 11.1068
ATOMIC_POSITIONS angstrom
Pm 0.0000 0.0000 1.9370
Pm 0.0000 0.0000 9.1698
Ho 0.0000 2.9302 0.0000
Ho 0.0000 2.9302 3.7101
Ho 0.0000 2.9302 7.3967
Ho 2.9302 0.0000 0.0000
Ho 2.9302 0.0000 3.7101
Ho 2.9302 0.0000 7.3967
Ho 2.9302 2.9302 1.8522
Ho 2.9302 2.9302 5.5534
Ho 2.9302 2.9302 9.2546
Th 0.0000 0.0000 5.5534


(5)
! PBE Pm4PPtBr2, relaxed; values from VASP
! - V: 222 Å³ per cell
! - Raw total energy: -44.4 eV per formula unit
! - Crystal system: monoclinic
! - SG: P2/m (10)
! - E_form (uncorrected): -1.323 eV per atom
&SYSTEM
  ibrav = 0, nat = 8, ntyp = 4
/
ATOMIC_SPECIES
Pm 145.00 Pm.upf
P 30.97 P.upf
Pt 195.08 Pt.upf
Br 79.90 Br.upf
CELL_PARAMETERS angstrom
7.4734 0.0000 0.0000
0.0000 4.0877 0.0000
-2.2864 0.0000 7.2769
ATOMIC_POSITIONS angstrom
Pm 1.2378 0.0000 1.4878
Pm 0.2168 2.0439 5.7595
Pm 4.9703 2.0439 1.5174
Pm 3.9493 0.0000 5.7891
P 3.7367 0.0000 0.0000
Pt 0.0000 2.0439 0.0000
Br -1.1432 0.0000 3.6384
Br 2.5935 2.0439 3.6384


(6)
! PBE Zn2FeCl, relaxed; values from VASP
! - V: 126 Å³ per cell
! - Raw total energy: -12.1 eV per formula unit
! - Crystal system: orthorhombic
! - SG: Cmmm (65)
! - E_form (uncorrected): 0.187 eV per atom
&SYSTEM
  ibrav = 0, nat = 8, ntyp = 3
/
ATOMIC_SPECIES
Zn 65.41 Zn.upf
Fe 55.84 Fe.upf
Cl 35.45 Cl.upf
CELL_PARAMETERS angstrom
5.2442 0.0000 0.0000
0.0000 8.0949 0.0000
0.0000 0.0000 2.9798
ATOMIC_POSITIONS angstrom
Zn 1.3111 2.0237 0.0000
Zn 1.3111 6.0711 0.0000
Zn 3.9332 2.0237 0.0000
Zn 3.9332 6.0711 0.0000
Fe 0.0000 0.0000 1.4899
Fe 2.6221 4.0474 1.4899
Cl 0.0000 4.0474 1.4899
Cl 2.6221 0.0000 1.4899


(7)
! PBE LiCa2Cd6, relaxed; values from VASP
! - V: 225 Å³ per cell
! - Raw total energy: -13.7 eV per formula unit
! - ΔE_f: -25.1 kJ per mole of atoms
! - Crystal system: monoclinic
! - SG: C2/m (12)
&SYSTEM
  ibrav = 0, nat = 9, ntyp = 3
/
ATOMIC_SPECIES
Li 6.94 Li.upf
Ca 40.08 Ca.upf
Cd 112.41 Cd.upf
CELL_PARAMETERS angstrom
7.5135 -4.3381 0.0000
7.5135 4.3381 0.0000
-0.0042 0.0000 3.4550
ATOMIC_POSITIONS angstrom
Li 0.0000 0.0000 0.0000
Ca 5.0043 0.0000 3.4550
Ca 10.0185 0.0000 0.0000
Cd 9.9751 -2.9154 1.7237
Cd 5.0477 2.9154 1.7314
Cd 9.9751 2.9154 1.7237
Cd 7.5114 1.4925 1.7275
Cd 5.0477 -2.9154 1.7314
Cd 7.5114 -1.4925 1.7275


(8)
! PBE KNa2Pa2O7, relaxed; values from VASP
! - V: 195 Å³ per cell
! - Raw total energy: -90.3 eV per formula unit
! - Crystal system: tetragonal
! - SG: I4/mmm (139)
! - E_form (uncorrected): -2.736 eV per atom
&SYSTEM
  ibrav = 0, nat = 12, ntyp = 4
/
ATOMIC_SPECIES
K 39.10 K.upf
Na 22.99 Na.upf
Pa 231.04 Pa.upf
O 16.00 O.upf
CELL_PARAMETERS angstrom
-2.1969 2.1969 10.1029
2.1969 -2.1969 10.1029
2.1969 2.1969 -10.1029
ATOMIC_POSITIONS angstrom
K 0.0000 0.0000 0.0000
Na 2.1969 0.0000 5.0515
Na 0.0000 2.1969 5.0515
Pa 0.0000 0.0000 7.9212
Pa 0.0000 0.0000 12.2847
O 2.1969 0.0000 2.1368
O 0.0000 0.0000 5.8658
O 2.1969 0.0000 7.9661
O 0.0000 0.0000 10.1029
O 0.0000 2.1969 2.1368
O 0.0000 0.0000 14.3401
O 0.0000 2.1969 7.9661


(9)
! PBE Ac4P2Cl3, relaxed; values from VASP
! - V: 296 Å³ per cell
! - Raw total energy: -48.8 eV per formula unit
! - Crystal system: monoclinic
! - SG: C2/m (12)
! - E_form (uncorrected): -1.777 eV per atom
&SYSTEM
  ibrav = 0, nat = 9, ntyp = 3
/
ATOMIC_SPECIES
Ac 227.00 Ac.upf
P 30.97 P.upf
Cl 35.45 Cl.upf
CELL_PARAMETERS angstrom
3.8093 -2.1992 0.0000
3.8093 2.1992 0.0000
-0.0206 0.0000 17.6899
ATOMIC_POSITIONS angstrom
Ac 0.0001 0.0000 5.2862
Ac 2.5396 0.0000 1.9727
Ac 5.0583 0.0000 15.7172
Ac 7.5978 0.0000 12.4037
P 2.5188 0.0000 14.0819
P 5.0791 0.0000 3.6081
Cl 0.0000 0.0000 0.0000
Cl 2.5394 0.0000 7.0064
Cl 5.0585 0.0000 10.6836


(10)
! PBE SrLi6Ga12, relaxed; values from VASP
! - V: 360 Å³ per cell
! - Raw total energy: -52.4 eV per formula unit
! - ΔE_f: -14.7 kJ per mole of atoms
! - Crystal system: trigonal
! - SG: R-3m (166)
&SYSTEM
  ibrav = 0, nat = 19, ntyp = 3
/
ATOMIC_SPECIES
Sr 87.62 Sr.upf
Li 6.94 Li.upf
Ga 69.72 Ga.upf
CELL_PARAMETERS angstrom
5.7512 3.3205 3.1431
-5.7512 3.3205 3.1431
0.0000 -6.6409 3.1431
ATOMIC_POSITIONS angstrom
Sr 0.0000 0.0000 0.0000
Li 0.0000 -2.7751 4.0386
Li -2.4033 1.3875 4.0386
Li -2.4033 -1.3875 5.3908
Li 2.4033 1.3875 4.0386
Li 2.4033 -1.3875 5.3908
Li 0.0000 2.7751 5.3908
Ga -2.2375 -3.8754 4.7147
Ga -4.4749 0.0000 4.7147
Ga -1.5165 -0.8756 2.8677
Ga 1.5165 -0.8756 2.8677
Ga 0.0000 1.7512 2.8677
Ga 2.2375 -3.8754 4.7147
Ga -2.2375 3.8754 4.7147
Ga 0.0000 -1.7512 6.5618
Ga -1.5166 0.8756 6.5618
Ga 1.5165 0.8756 6.5618
Ga 4.4749 0.0000 4.7147
Ga 2.2375 3.8754 4.7147


(11)
! PBE KAlOs2, relaxed; values from VASP
! - V: 368 Å³ per cell
! - Raw total energy: -23.1 eV per formula unit
! - ΔE_f: 100.6 kJ per mole of atoms
! - Crystal system: tetragonal
! - SG: I-42d (122)
&SYSTEM
  ibrav = 0, nat = 16, ntyp = 3
/
ATOMIC_SPECIES
K 39.10 K.upf
Al 26.98 Al.upf
Os 190.23 Os.upf
CELL_PARAMETERS angstrom
4.4885 0.0000 0.0000
0.0000 4.4885 0.0000
0.0000 0.0000 18.2607
ATOMIC_POSITIONS angstrom
K 0.0000 0.0000 0.0000
K 0.0000 2.2442 4.5652
K 2.2442 0.0000 13.6955
K 2.2442 2.2442 9.1303
Al 0.0000 0.0000 9.1303
Al 0.0000 2.2442 13.6955
Al 2.2442 0.0000 4.5652
Al 2.2442 2.2442 0.0000
Os 0.4685 3.3663 11.4129
Os 1.1221 0.4685 6.8478
Os 1.1221 1.7757 15.9781
Os 1.7757 3.3663 2.2826
Os 2.7128 1.1221 2.2826
Os 3.3663 2.7128 15.9781
Os 3.3663 4.0199 6.8478
Os 4.0199 1.1221 11.4129


(12)
! PBE YTaF, relaxed; values from VASP
! - V: 113 Å³ per cell
! - Raw total energy: -25.0 eV per formula unit
! - Crystal system: tetragonal
! - SG: P4/nmm (129)
! - E_form (uncorrected): -1.615 eV per atom
&SYSTEM
  ibrav = 0, nat = 6, ntyp = 3
/
ATOMIC_SPECIES
Y 88.91 Y.upf
Ta 180.95 Ta.upf
F 19.00 F.upf
CELL_PARAMETERS angstrom
3.6207 0.0000 0.0000
0.0000 3.6207 0.0000
0.0000 0.0000 8.6065
ATOMIC_POSITIONS angstrom
Y 0.9052 0.9052 1.5898
Y 2.7156 2.7156 7.0167
Ta 0.9052 0.9052 4.7962
Ta 2.7156 2.7156 3.8103
F 0.9052 2.7156 0.0000
F 2.7156 0.9052 0.0000


(13)
! PBE MnCrIrS, relaxed; values from VASP
! - V: 110 Å³ per cell
! - Raw total energy: -31.6 eV per formula unit
! - Crystal system: monoclinic
! - SG: Cm (8)
! - E_form (uncorrected): 0.033 eV per atom
&SYSTEM
  ibrav = 0, nat = 8, ntyp = 4
/
ATOMIC_SPECIES
Mn 54.94 Mn.upf
Cr 52.00 Cr.upf
Ir 192.22 Ir.upf
S 32.06 S.upf
CELL_PARAMETERS angstrom
8.6042 0.0000 0.0000
0.0000 2.8627 0.0000
-0.1410 0.0000 4.4602
ATOMIC_POSITIONS angstrom
Mn 0.0000 0.0000 0.0000
Mn 4.3021 1.4313 0.0000
Cr 1.8423 1.4313 1.3685
Cr 6.1444 0.0000 1.3685
Ir 3.7414 0.0000 2.1547
Ir 8.0435 1.4313 2.1547
S 1.4456 1.4313 3.6247
S 5.7477 0.0000 3.6247


(14)
! PBE La6InAg3, relaxed; values from VASP
! - V: 611 Å³ per cell
! - Raw total energy: -43.1 eV per formula unit
! - ΔE_f: -22.1 kJ per mole of atoms
! - Crystal system: monoclinic
! - SG: P2_1/m (11)
&SYSTEM
  ibrav = 0, nat = 20, ntyp = 3
/
ATOMIC_SPECIES
La 138.91 La.upf
In 114.82 In.upf
Ag 107.87 Ag.upf
CELL_PARAMETERS angstrom
9.7372 0.0000 0.0000
0.0000 5.3026 0.0000
-2.9044 0.0000 11.8374
ATOMIC_POSITIONS angstrom
La -0.1116 1.3256 1.1741
La -0.6499 1.3256 8.3848
La 0.6865 3.9769 5.9759
La 2.4582 1.3256 4.1084
La 3.2981 3.9769 1.2088
La 1.2917 3.9769 9.9402
La 5.5411 1.3256 1.8972
La 3.5347 1.3256 10.6287
La 4.3747 3.9769 7.7290
La 6.1463 1.3256 5.8615
La 7.4828 3.9769 3.4526
La 6.9444 3.9769 10.6633
In 2.4833 1.3256 7.4776
In 4.3495 3.9769 4.3598
Ag -0.7185 1.3256 4.3607
Ag 0.7329 3.9769 2.8394
Ag -0.1263 1.3256 11.4680
Ag 6.9591 3.9769 0.3694
Ag 6.0999 1.3256 8.9981
Ag 7.5514 3.9769 7.4767


(15)
! PBE BaPuSe2, relaxed; values from VASP
! - V: 501 Å³ per cell
! - Raw total energy: -29.9 eV per formula unit
! - Crystal system: tetragonal
! - SG: I4_1/amd (141)
! - E_form (uncorrected): -1.657 eV per atom
&SYSTEM
  ibrav = 0, nat = 16, ntyp = 3
/
ATOMIC_SPECIES
Ba 137.33 Ba.upf
Pu 244.00 Pu.upf
Se 78.96 Se.upf
CELL_PARAMETERS angstrom
6.3145 0.0000 0.0000
0.0000 6.3145 0.0000
0.0000 0.0000 12.5706
ATOMIC_POSITIONS angstrom
Ba 0.0000 1.5786 4.7140
Ba 0.0000 4.7359 7.8566
Ba 3.1572 1.5786 1.5713
Ba 3.1572 4.7359 10.9993
Pu 0.0000 1.5786 10.9993
Pu 0.0000 4.7359 1.5713
Pu 3.1572 1.5786 7.8566
Pu 3.1572 4.7359 4.7140
Se 0.0000 1.5786 1.3868
Se 0.0000 1.5786 8.0412
Se 0.0000 4.7359 4.5294
Se 0.0000 4.7359 11.1838
Se 3.1572 1.5786 4.8985
Se 3.1572 1.5786 10.8147
Se 3.1572 4.7359 1.7559
Se 3.1572 4.7359 7.6721


(16)
! PBE GdZrAgPt, relaxed; values from VASP
! - V: 340 Å³ per cell
! - Raw total energy: -33.6 eV per formula unit
! - ΔE_f: -50.4 kJ per mole of atoms
! - Crystal system: cubic
! - SG: F-43m (216)
&SYSTEM
  ibrav = 0, nat = 16, ntyp = 4
/
ATOMIC_SPECIES
Gd 157.25 Gd.upf
Zr 91.22 Zr.upf
Ag 107.87 Ag.upf
Pt 195.08 Pt.upf
CELL_PARAMETERS angstrom
6.9790 0.0000 0.0000
0.0000 6.9790 0.0000
0.0000 0.0000 6.9790
ATOMIC_POSITIONS angstrom
Gd 0.0000 0.0000 0.0000
Gd 0.0000 3.4895 3.4895
Gd 3.4895 0.0000 3.4895
Gd 3.4895 3.4895 0.0000
Zr 0.0000 0.0000 3.4895
Zr 0.0000 3.4895 0.0000
Zr 3.4895 0.0000 0.0000
Zr 3.4895 3.4895 3.4895
Ag 1.7448 1.7448 1.7448
Ag 1.7448 5.2343 5.2343
Ag 5.2343 1.7448 5.2343
Ag 5.2343 5.2343 1.7448
Pt 1.7448 1.7448 5.2343
Pt 1.7448 5.2343 1.7448
Pt 5.2343 1.7448 1.7448
Pt 5.2343 5.2343 5.2343


(17)
! PBE K2UHgTe5, relaxed; values from VASP
! - V: 688 Å³ per cell
! - Raw total energy: -34.9 eV per formula unit
! - Crystal system: orthorhombic
! - SG: Cmc2_1 (36)
! - E_form (uncorrected): -0.600 eV per atom
&SYSTEM
  ibrav = 0, nat = 18, ntyp = 4
/
ATOMIC_SPECIES
K 39.10 K.upf
U 238.03 U.upf
Hg 200.59 Hg.upf
Te 127.60 Te.upf
CELL_PARAMETERS angstrom
2.1942 -10.5642 0.0000
2.1942 10.5642 0.0000
0.0000 0.0000 14.8487
ATOMIC_POSITIONS angstrom
K 2.1942 7.9576 7.4243
K 2.1942 7.9022 1.9933
K 2.1942 -7.9022 9.4176
K 2.1942 -7.9576 0.0000
U 2.1942 6.2915 12.2568
U 2.1942 -6.2915 4.8325
Hg 2.1942 1.1756 3.4834
Hg 2.1942 -1.1756 10.9077
Te 2.1942 9.2598 12.7595
Te 2.1942 4.2840 6.8508
Te 2.1942 4.2171 2.7565
Te 2.1942 3.4510 12.1487
Te 2.1942 0.0209 8.4612
Te 2.1942 -0.0209 1.0368
Te 2.1942 -3.4510 4.7243
Te 2.1942 -4.2171 10.1808
Te 2.1942 -4.2840 14.2751
Te 2.1942 -9.2598 5.3352


(18)
! PBE OsPt3, relaxed; values from VASP
! - V: 61 Å³ per cell
! - Raw total energy: -29.0 eV per formula unit
! - ΔE_f: 8.6 kJ per mole of atoms
! - Crystal system: monoclinic
! - SG: P2/m (10)
&SYSTEM
  ibrav = 0, nat = 4, ntyp = 2
/
ATOMIC_SPECIES
Os 190.23 Os.upf
Pt 195.08 Pt.upf
CELL_PARAMETERS angstrom
2.8052 0.0000 0.0000
0.0000 3.9047 0.0000
-0.0065 0.0000 5.5779
ATOMIC_POSITIONS angstrom
Os 0.0000 0.0000 0.0000
Pt -0.0032 0.0000 2.7890
Pt 1.3907 1.9524 4.2383
Pt 1.4080 1.9524 1.3396


(19)
! PBE NaCuH3, relaxed; values from VASP
! - V: 227 Å³ per cell
! - Raw total energy: -15.6 eV per formula unit
! - Crystal system: monoclinic
! - SG: P2_1/c (14)
&SYSTEM
  ibrav = 0, nat = 20, ntyp = 3
/
ATOMIC_SPECIES
Na 22.99 Na.upf
Cu 63.55 Cu.upf
H 1.01 H.upf
CELL_PARAMETERS angstrom
5.5156 0.0000 0.0000
0.0000 4.4682 0.0000
-5.2185 0.0000 9.2023
ATOMIC_POSITIONS angstrom
Na -0.2294 1.0711 1.3442
Na -2.8387 1.1630 5.9453
Na 3.1358 3.3052 3.2570
Na 0.5265 3.3971 7.8581
Cu -0.3333 1.1017 4.2876
Cu -2.9426 1.1324 8.8887
Cu 3.2397 3.3358 0.3136
Cu 0.6304 3.3664 4.9147
H -1.8172 0.9934 3.7177
H -4.4264 1.2407 8.3188
H -0.7735 2.5328 4.8864
H 1.8358 4.1694 0.2852
H -2.1083 2.2636 8.0608
H 0.5009 4.4386 3.4597
H -0.2038 0.0295 5.7426
H 2.4054 2.2045 1.1415
H -1.5387 0.2987 8.9171
H 1.0706 1.9354 4.3159
H 4.7236 3.2275 0.8835
H 2.1143 3.4748 5.4846


(20)
! PBE PmNd4Zn4, relaxed; values from VASP
! - V: 249 Å³ per cell
! - Raw total energy: -30.2 eV per formula unit
! - ΔE_f: -13.7 kJ per mole of atoms
! - Crystal system: tetragonal
! - SG: I4/m (87)
&SYSTEM
  ibrav = 0, nat = 9, ntyp = 3
/
ATOMIC_SPECIES
Pm 145.00 Pm.upf
Nd 144.24 Nd.upf
Zn 65.41 Zn.upf
CELL_PARAMETERS angstrom
-4.9038 4.9038 2.5894
4.9038 -4.9038 2.5894
4.9038 4.9038 -2.5894
ATOMIC_POSITIONS angstrom
Pm 0.0000 0.0000 0.0000
Nd 6.4340 1.1161 0.0000
Nd 1.1161 3.3737 0.0000
Nd 3.7877 1.5302 2.5894
Nd -1.5302 3.7877 2.5894
Zn 4.1887 3.1883 0.0000
Zn 1.7155 -0.7151 2.5894
Zn 3.1883 5.6189 0.0000
Zn 0.7151 1.7155 2.5894